(1)
Below is a relaxed KBi4Pd crystal, with properties calculated at the PBE level.

```
12
Lattice="7.130 -3.626 0.000 7.130 3.626 0.000 -1.048 0.000 7.958" Properties=species:S:1:pos:R:3 pbc="T T T"
K 3.087 0.000 1.234
K 10.125 0.000 6.725
Bi 5.046 1.870 3.778
Bi 7.130 1.565 0.000
Bi 3.712 0.000 6.026
Bi 8.166 1.870 4.181
Bi 5.046 -1.870 3.778
Bi 9.500 0.000 1.932
Bi 7.130 -1.565 0.000
Bi 8.166 -1.870 4.181
Pd 6.647 0.000 2.360
Pd 6.565 0.000 5.599
```



(2)
Below is a relaxed CePmMgCu crystal, with properties calculated at the PBE level.

```
4
Lattice="0.000 3.706 3.706 3.706 0.000 3.706 3.706 3.706 0.000" Properties=species:S:1:pos:R:3 pbc="T T T"
Ce 0.000 0.000 0.000
Pm 3.706 3.706 3.706
Mg 5.559 5.559 5.559
Cu 1.853 1.853 1.853
```



(3)
Below is a relaxed GdPuIn crystal, with properties calculated at the PBE level.

```
3
Lattice="-1.913 1.913 5.814 1.913 -1.913 5.814 1.913 1.913 -5.814" Properties=species:S:1:pos:R:3 pbc="T T T"
Gd 0.000 0.000 0.000
Pu 0.000 0.000 3.647
In 0.000 0.000 7.599
```



Number 1: E_form -167 meV/atom, D(E_F) 4.6 states/eV per cell, uncorrected energy -22.81 eV per formula unit. Number 2: E_form 59 meV/atom, D(E_F) 9.6 states/eV per cell, uncorrected energy -16.14 eV per formula unit. Number 3: E_form -126 meV/atom, D(E_F) 8.1 states/eV per cell, uncorrected energy -31.53 eV per formula unit.